[1]
{
  "formula": "CaCd3Rh",
  "functional": "PBE-GGA",
  "state": "optimized geometry",
  "lattice_angstrom": [[5.159, 0.000, 0.000], [0.000, 5.159, 0.000], [0.000, 0.000, 5.159]],
  "species": ["Ca", "Rh", "Cd", "Cd", "Cd"],
  "fractional_positions": [[0.500, 0.500, 0.500], [0.000, 0.000, 0.000], [0.000, 0.500, 0.000], [0.000, 0.000, 0.500], [0.500, 0.000, 0.000]],
  "polymorph_energy_mev_per_atom": 153,
  "dos_at_fermi_per_ev_fu": 2.84,
  "delta_e_f_kj_per_mol_atoms": -7.8
}

=====

[2]
{
  "formula": "Ca2CdRh",
  "functional": "PBE-GGA",
  "state": "optimized geometry",
  "lattice_angstrom": [[-1.319, 1.835, 3.820], [-1.738, -5.492, 2.038], [7.831, 1.706, 1.885]],
  "species": ["Ca", "Ca", "Ca", "Ca", "Cd", "Cd", "Rh", "Rh"],
  "fractional_positions": [[0.750, 0.193, 0.439], [0.250, 0.807, 0.561], [0.250, 0.760, 0.085], [0.750, 0.240, 0.915], [0.250, 0.340, 0.220], [0.750, 0.660, 0.780], [0.750, 0.633, 0.288], [0.250, 0.367, 0.712]],
  "dos_at_fermi_per_ev_fu": 1.54,
  "delta_e_f_kj_per_mol_atoms": -35.3
}

=====

[3]
{
  "formula": "CaCdRh2",
  "functional": "PBE-GGA",
  "state": "optimized geometry",
  "lattice_angstrom": [[3.346, 0.000, 0.000], [0.000, 3.346, 0.000], [0.000, 0.000, 7.082]],
  "species": ["Ca", "Rh", "Rh", "Cd"],
  "fractional_positions": [[0.000, 0.000, 0.465], [0.000, 0.000, 0.034], [0.500, 0.500, 0.201], [0.500, 0.500, 0.799]],
  "dos_at_fermi_per_ev_fu": 4.60,
  "delta_e_f_kj_per_mol_atoms": -5.4
}

=====

| no. | energy (eV/atom) |
| --- | --- |
| 1 | -2.500 |
| 2 | -3.433 |
| 3 | -4.461 |